A relaxed structure of PrSm2Hg8. Source: Alexandria via LeMat-Bulk, functional PBE.

Calculated formation energy ... -340 meV/atom

Cell: 5.2009 7.4064 14.9927 Å, 90.00 90.00 90.00°
Space group Immm (No. 71)
One atom of each set of equivalent atoms:
1 Pr 0.0000 0.0000 0.0000
2 Sm 0.0000 0.0000 0.3101
3 Hg 0.0000 0.2084 0.5000
4 Hg 0.0000 0.2863 0.1508
5 Hg 0.0000 0.5000 0.3421

---

A relaxed structure of Pr2Sm6Hg. Source: Alexandria via LeMat-Bulk, functional PBE.

Calculated formation energy ... -8 meV/atom

Cell: 3.6514 10.4509 15.8132 Å, 90.00 90.00 90.00°
Space group Immm (No. 71)
One atom of each set of equivalent atoms:
1 Pr 0.0000 0.0000 0.1408
2 Sm 0.0000 0.2697 0.5000
3 Sm 0.0000 0.3419 0.1807
4 Hg 0.0000 0.5000 0.0000

---

A relaxed structure of PrSm2Hg8. Source: Alexandria via LeMat-Bulk, functional PBE.

Calculated formation energy ... -350 meV/atom

Cell: 16.2360 5.0527 7.3426 Å, 90.00 110.05 90.00°
Space group C2/m (No. 12)
One atom of each set of equivalent atoms:
1 Pr 0.0000 0.0000 0.0000
2 Sm 0.2101 0.5000 0.6517
3 Hg 0.0243 0.5000 0.7269
4 Hg 0.0951 0.0000 0.4608
5 Hg 0.1518 0.5000 0.1791
6 Hg 0.1744 0.0000 0.9023

---

A relaxed structure of Pr2Sm2Hg. Source: Alexandria via LeMat-Bulk, functional PBE.

Calculated formation energy ... -182 meV/atom

Cell: 3.7215 3.7215 23.2619 Å, 90.00 90.00 90.00°
Space group I4/mmm (No. 139)
One atom of each set of equivalent atoms:
1 Pr 0.0000 0.0000 0.1938
2 Sm 0.0000 0.0000 0.4156
3 Hg 0.0000 0.0000 0.0000

---

A relaxed structure of Pr4SmHg. Source: Alexandria via LeMat-Bulk, functional PBE.

Calculated formation energy ... -60 meV/atom

Cell: 9.1256 14.2802 6.5924 Å, 90.00 109.24 90.00°
Space group C2/c (No. 15)
One atom of each set of equivalent atoms:
1 Pr 0.0997 0.1881 0.0490
2 Pr 0.2171 0.3856 0.3754
3 Sm 0.0000 0.4087 0.7500
4 Hg 0.0000 0.0018 0.7500

---

A relaxed structure of Pr4SmHg3. Source: Alexandria via LeMat-Bulk, functional PBE.

Calculated formation energy ... -292 meV/atom

Cell: 5.4732 5.4732 27.9729 Å, 90.00 90.00 120.00°
Space group R-3m (No. 166, hexagonal axes)
One atom of each set of equivalent atoms:
1 Pr 0.0000 0.0000 0.1134
2 Pr 0.0000 0.0000 0.3693
3 Sm 0.0000 0.0000 0.5000
4 Hg 0.0000 0.0000 0.0000
5 Hg 0.0000 0.0000 0.2357

---

What did the fourth record say?
A relaxed structure of Pr2Sm2Hg. Source: Alexandria via LeMat-Bulk, functional PBE.

Calculated formation energy ... -182 meV/atom

Cell: 3.7215 3.7215 23.2619 Å, 90.00 90.00 90.00°
Space group I4/mmm (No. 139)
One atom of each set of equivalent atoms:
1 Pr 0.0000 0.0000 0.1938
2 Sm 0.0000 0.0000 0.4156
3 Hg 0.0000 0.0000 0.0000

---

Copy entry 3 word for word.
A relaxed structure of PrSm2Hg8. Source: Alexandria via LeMat-Bulk, functional PBE.

Calculated formation energy ... -350 meV/atom

Cell: 16.2360 5.0527 7.3426 Å, 90.00 110.05 90.00°
Space group C2/m (No. 12)
One atom of each set of equivalent atoms:
1 Pr 0.0000 0.0000 0.0000
2 Sm 0.2101 0.5000 0.6517
3 Hg 0.0243 0.5000 0.7269
4 Hg 0.0951 0.0000 0.4608
5 Hg 0.1518 0.5000 0.1791
6 Hg 0.1744 0.0000 0.9023

---

- What is the formula in the second record?
  Pr2Sm6Hg